[1]
4
Lattice="4.5181 0.0000 0.0000 0.0000 4.6303 0.0000 0.0000 0.0000 4.6896" Properties=species:S:1:pos:R:3 comment="NdGaSnHg, relaxed, DFT PBE" ef_mev_per_atom=-479 total_energy_ev_per_cell=-14.0 total_magnetization_mub_per_atom=0.00 pbc="T T T"
Nd 0.0000 0.0000 0.0000
Ga 2.2590 2.3151 0.0000
Sn 2.2590 0.0000 2.3448
Hg 0.0000 2.3151 2.3448

=====

[2]
8
Lattice="7.4749 0.0000 0.0000 0.0000 4.2944 0.0000 -2.4541 0.0000 7.7728" Properties=species:S:1:pos:R:3 comment="Nd4GaHgTe2, relaxed, DFT PBE" total_energy_ev_per_cell=-36.3 total_magnetization_mub_per_atom=0.00 raw_formation_energy_mev_per_atom=-947 pbc="T T T"
Nd 1.2048 0.0000 1.8865
Nd -0.0228 2.1472 5.8383
Nd 5.0436 2.1472 1.9344
Nd 3.8160 0.0000 5.8862
Ga 0.0000 2.1472 0.0000
Hg 3.7375 0.0000 0.0000
Te -1.2271 0.0000 3.8864
Te 2.5104 2.1472 3.8864

=====

[3]
4
Lattice="0.0000 3.7204 3.7204 3.7204 0.0000 3.7204 3.7204 3.7204 0.0000" Properties=species:S:1:pos:R:3 comment="NdTlGaHg, relaxed, DFT PBE" ef_mev_per_atom=-243 total_energy_ev_per_cell=-11.4 total_magnetization_mub_per_atom=0.00 pbc="T T T"
Nd 0.0000 0.0000 0.0000
Tl 3.7204 3.7204 3.7204
Ga 1.8602 1.8602 1.8602
Hg 5.5806 5.5806 5.5806

=====

[4]
8
Lattice="2.7098 1.5645 8.8314 -2.7098 1.5645 8.8314 0.0000 -3.1290 8.8314" Properties=species:S:1:pos:R:3 comment="Nd4TlGaHg2, relaxed, DFT PBE" ef_mev_per_atom=-466 total_energy_ev_per_cell=-28.8 total_magnetization_mub_per_atom=0.16 pbc="T T T"
Nd 0.0000 0.0000 3.1781
Nd 0.0000 0.0000 9.8070
Nd 0.0000 0.0000 16.6872
Nd 0.0000 0.0000 23.3161
Tl 0.0000 0.0000 13.2471
Ga 0.0000 0.0000 0.0000
Hg 0.0000 0.0000 6.5305
Hg 0.0000 0.0000 19.9637

=====

[5]
4
Lattice="0.0000 3.7025 3.7025 3.7025 0.0000 3.7025 3.7025 3.7025 0.0000" Properties=species:S:1:pos:R:3 comment="NdTmGaHg, relaxed, DFT PBE" ef_mev_per_atom=-489 total_energy_ev_per_cell=-14.5 total_magnetization_mub_per_atom=0.00 pbc="T T T"
Nd 0.0000 0.0000 0.0000
Tm 3.7025 3.7025 3.7025
Ga 5.5537 5.5537 5.5537
Hg 1.8512 1.8512 1.8512

=====

[6]
4
Lattice="3.6403 0.0000 0.0000 0.0000 3.6403 0.0000 0.0000 0.0000 7.5444" Properties=species:S:1:pos:R:3 comment="NdTmGaHg, relaxed, DFT PBE" ef_mev_per_atom=-525 total_energy_ev_per_cell=-14.7 total_magnetization_mub_per_atom=0.00 pbc="T T T"
Nd 0.0000 0.0000 0.0000
Tm 0.0000 0.0000 3.9854
Ga 1.8202 1.8202 5.6605
Hg 1.8202 1.8202 2.1993

=====

[7]
4
Lattice="0.0000 3.6160 3.6160 3.6160 0.0000 3.6160 3.6160 3.6160 0.0000" Properties=species:S:1:pos:R:3 comment="NdZrGaHg, relaxed, DFT PBE" ef_mev_per_atom=-316 total_energy_ev_per_cell=-17.9 total_magnetization_mub_per_atom=0.00 pbc="T T T"
Nd 0.0000 0.0000 0.0000
Zr 3.6160 3.6160 3.6160
Ga 1.8080 1.8080 1.8080
Hg 5.4239 5.4239 5.4239

=====

[8]
8
Lattice="-2.0632 2.0632 8.6059 2.0632 -2.0632 8.6059 2.0632 2.0632 -8.6059" Properties=species:S:1:pos:R:3 comment="Ga2NiHg, relaxed, DFT PBE" ef_mev_per_atom=105 total_energy_ev_per_cell=-23.4 total_magnetization_mub_per_atom=0.00 pbc="T T T"
Ga 3.0949 0.7999 -2.1515
Ga 0.7999 1.0316 2.1515
Ga -1.0316 1.2634 6.4544
Ga 1.2634 1.0316 10.7573
Ni 0.0000 0.0000 0.0000
Ni 0.0000 2.0632 4.3029
Hg 2.0632 0.0000 4.3029
Hg 0.0000 0.0000 8.6059

=====

[9]
5
Lattice="4.6536 0.0000 0.0000 0.0000 4.6536 0.0000 0.0000 0.0000 4.6536" Properties=species:S:1:pos:R:3 comment="Ga3NiHg, relaxed, DFT PBE" ef_mev_per_atom=-103 total_energy_ev_per_cell=-15.7 total_magnetization_mub_per_atom=0.00 pbc="T T T"
Ga 0.0000 0.0000 2.3268
Ga 0.0000 2.3268 0.0000
Ga 2.3268 0.0000 0.0000
Ni 0.0000 0.0000 0.0000
Hg 2.3268 2.3268 2.3268

=====

[10]
5
Lattice="-1.6752 1.6752 8.3144 1.6752 -1.6752 8.3144 1.6752 1.6752 -8.3144" Properties=species:S:1:pos:R:3 comment="GaNi2Hg2, relaxed, DFT PBE" ef_mev_per_atom=296 total_energy_ev_per_cell=-13.7 total_magnetization_mub_per_atom=0.00 pbc="T T T"
Ga 0.0000 0.0000 0.0000
Ni 1.6752 0.0000 4.1572
Ni 0.0000 1.6752 4.1572
Hg 0.0000 0.0000 6.3122
Hg 0.0000 0.0000 10.3166

=====

[11]
5
Lattice="4.7396 0.0000 0.0000 0.0000 4.7396 0.0000 0.0000 0.0000 4.7396" Properties=species:S:1:pos:R:3 comment="GaNi3Hg, relaxed, DFT PBE" ef_mev_per_atom=1252 total_energy_ev_per_cell=-14.4 total_magnetization_mub_per_atom=0.26 pbc="T T T"
Ga 0.0000 0.0000 0.0000
Ni 0.0000 2.3698 2.3698
Ni 2.3698 0.0000 2.3698
Ni 2.3698 2.3698 0.0000
Hg 2.3698 2.3698 2.3698

=====

[12]
10
Lattice="6.3290 0.0000 0.0000 0.0000 6.3290 0.0000 0.0000 0.0000 4.0980" Properties=species:S:1:pos:R:3 comment="GaNi2Hg2, relaxed, DFT PBE" ef_mev_per_atom=30 total_energy_ev_per_cell=-30.1 total_magnetization_mub_per_atom=0.00 pbc="T T T"
Ga 0.0000 0.0000 0.0000
Ga 3.1645 3.1645 0.0000
Ni 0.8957 2.2688 0.0000
Ni 2.2688 5.4334 0.0000
Ni 4.0602 0.8957 0.0000
Ni 5.4334 4.0602 0.0000
Hg 1.0421 4.2066 2.0490
Hg 2.1225 1.0421 2.0490
Hg 4.2066 5.2870 2.0490
Hg 5.2870 2.1225 2.0490

=====

[13]
5
Lattice="5.0415 0.0000 0.0000 0.0000 5.0415 0.0000 0.0000 0.0000 5.0415" Properties=species:S:1:pos:R:3 comment="GaNiHg3, relaxed, DFT PBE" ef_mev_per_atom=225 total_energy_ev_per_cell=-8.6 total_magnetization_mub_per_atom=0.00 pbc="T T T"
Ga 0.0000 0.0000 0.0000
Ni 2.5207 2.5207 2.5207
Hg 0.0000 2.5207 2.5207
Hg 2.5207 0.0000 2.5207
Hg 2.5207 2.5207 0.0000

=====

[14]
5
Lattice="4.3605 0.0000 0.0000 0.0000 4.3605 0.0000 0.0000 0.0000 4.3605" Properties=species:S:1:pos:R:3 comment="GaNi3Hg, relaxed, DFT PBE" ef_mev_per_atom=564 total_energy_ev_per_cell=-17.9 total_magnetization_mub_per_atom=0.00 pbc="T T T"
Ga 0.0000 0.0000 0.0000
Ni 0.0000 0.0000 2.1803
Ni 0.0000 2.1803 0.0000
Ni 2.1803 0.0000 0.0000
Hg 2.1803 2.1803 2.1803

=====

[15]
10
Lattice="7.7742 0.0000 0.0000 0.0000 7.7742 0.0000 0.0000 0.0000 2.8809" Properties=species:S:1:pos:R:3 comment="GaNi2Hg2, relaxed, DFT PBE" ef_mev_per_atom=266 total_energy_ev_per_cell=-27.7 total_magnetization_mub_per_atom=0.00 pbc="T T T"
Ga 0.0000 0.0000 0.0000
Ga 3.8871 3.8871 0.0000
Ni 0.9113 2.9758 1.4405
Ni 2.9758 6.8629 1.4405
Ni 4.7984 0.9113 1.4405
Ni 6.8629 4.7984 1.4405
Hg 1.3638 5.2509 0.0000
Hg 2.5233 1.3638 0.0000
Hg 5.2509 6.4103 0.0000
Hg 6.4103 2.5233 0.0000

=====

[16]
5
Lattice="5.1086 0.0000 0.0000 0.0000 5.1086 0.0000 0.0000 0.0000 5.1086" Properties=species:S:1:pos:R:3 comment="Ga3NiHg, relaxed, DFT PBE" ef_mev_per_atom=958 total_energy_ev_per_cell=-10.4 total_magnetization_mub_per_atom=0.00 pbc="T T T"
Ga 0.0000 0.0000 2.5543
Ga 0.0000 2.5543 0.0000
Ga 2.5543 0.0000 0.0000
Ni 2.5543 2.5543 2.5543
Hg 0.0000 0.0000 0.0000

=====

[17]
4
Lattice="0.0000 3.2575 3.2575 3.2575 0.0000 3.2575 3.2575 3.2575 0.0000" Properties=species:S:1:pos:R:3 comment="Ga2NiHg, relaxed, DFT PBE" ef_mev_per_atom=207 total_energy_ev_per_cell=-11.3 total_magnetization_mub_per_atom=0.00 pbc="T T T"
Ga 1.6287 1.6287 1.6287
Ga 4.8862 4.8862 4.8862
Ni 0.0000 0.0000 0.0000
Hg 3.2575 3.2575 3.2575

=====

[18]
10
Lattice="4.2010 0.0000 0.0000 0.0000 4.2010 0.0000 0.0000 0.0000 10.0798" Properties=species:S:1:pos:R:3 comment="Pm2Ga3Ni4Hg, relaxed, DFT PBE" ef_mev_per_atom=-447 total_energy_ev_per_cell=-46.5 total_magnetization_mub_per_atom=0.00 pbc="T T T"
Pm 0.0000 2.1005 2.3845
Pm 2.1005 0.0000 7.6952
Ga 0.0000 2.1005 8.9090
Ga 2.1005 0.0000 1.1707
Ga 2.1005 2.1005 5.0399
Ni 0.0000 0.0000 0.0000
Ni 0.0000 2.1005 6.5471
Ni 2.1005 0.0000 3.5326
Ni 2.1005 2.1005 0.0000
Hg 0.0000 0.0000 5.0399

=====

[19]
5
Lattice="5.2602 0.0000 0.0000 0.0000 5.2602 0.0000 0.0000 0.0000 4.6999" Properties=species:S:1:pos:R:3 comment="RbGaNiHg2, relaxed, DFT PBE" ef_mev_per_atom=-118 total_energy_ev_per_cell=-11.0 total_magnetization_mub_per_atom=0.00 pbc="T T T"
Rb 0.0000 0.0000 0.0000
Ga 2.6301 2.6301 0.0000
Ni 2.6301 2.6301 2.3499
Hg 0.0000 2.6301 2.3499
Hg 2.6301 0.0000 2.3499

=====

[20]
5
Lattice="5.2483 0.0000 0.0000 0.0000 5.2483 0.0000 0.0000 0.0000 4.7908" Properties=species:S:1:pos:R:3 comment="GaReNiHg2, relaxed, DFT PBE" ef_mev_per_atom=1295 total_energy_ev_per_cell=-15.4 total_magnetization_mub_per_atom=0.29 pbc="T T T"
Ga 0.0000 0.0000 0.0000
Re 0.0000 0.0000 2.3954
Ni 2.6241 2.6241 0.0000
Hg 0.0000 2.6241 2.3954
Hg 2.6241 0.0000 2.3954

=====

[21]
4
Lattice="0.0000 3.2455 3.2455 3.2455 0.0000 3.2455 3.2455 3.2455 0.0000" Properties=species:S:1:pos:R:3 comment="ScGaNiHg, relaxed, DFT PBE" ef_mev_per_atom=-255 total_energy_ev_per_cell=-16.5 total_magnetization_mub_per_atom=0.00 pbc="T T T"
Sc 0.0000 0.0000 0.0000
Ga 3.2455 3.2455 3.2455
Ni 1.6228 1.6228 1.6228
Hg 4.8683 4.8683 4.8683

=====

[22]
10
Lattice="4.1351 0.0000 0.0000 0.0000 4.1351 0.0000 0.0000 0.0000 10.3121" Properties=species:S:1:pos:R:3 comment="Sm2Ga3Ni4Hg, relaxed, DFT PBE" ef_mev_per_atom=-448 total_energy_ev_per_cell=-46.4 total_magnetization_mub_per_atom=0.00 pbc="T T T"
Sm 0.0000 2.0675 2.4570
Sm 2.0675 0.0000 7.8551
Ga 0.0000 2.0675 9.0863
Ga 2.0675 0.0000 1.2258
Ga 2.0675 2.0675 5.1561
Ni 0.0000 0.0000 0.0000
Ni 0.0000 2.0675 6.7223
Ni 2.0675 0.0000 3.5898
Ni 2.0675 2.0675 0.0000
Hg 0.0000 0.0000 5.1561

=====

[23]
5
Lattice="5.7431 0.0000 0.0000 0.0000 5.7431 0.0000 0.0000 0.0000 4.5670" Properties=species:S:1:pos:R:3 comment="Sr2GaNiHg, relaxed, DFT PBE" ef_mev_per_atom=-299 total_energy_ev_per_cell=-14.0 total_magnetization_mub_per_atom=0.00 pbc="T T T"
Sr 0.0000 2.8715 0.0000
Sr 2.8715 0.0000 0.0000
Ga 0.0000 0.0000 2.2835
Ni 0.0000 0.0000 0.0000
Hg 2.8715 2.8715 2.2835

=====

[24]
5
Lattice="5.1380 0.0000 0.0000 0.0000 5.1380 0.0000 0.0000 0.0000 4.5999" Properties=species:S:1:pos:R:3 comment="TlGaNiHg2, relaxed, DFT PBE" ef_mev_per_atom=15 total_energy_ev_per_cell=-11.7 total_magnetization_mub_per_atom=0.00 pbc="T T T"
Tl 0.0000 0.0000 0.0000
Ga 2.5690 2.5690 0.0000
Ni 2.5690 2.5690 2.3000
Hg 0.0000 2.5690 2.3000
Hg 2.5690 0.0000 2.3000

=====

[25]
5
Lattice="5.1793 0.0000 0.0000 0.0000 5.1793 0.0000 0.0000 0.0000 4.6755" Properties=species:S:1:pos:R:3 comment="Tl2GaNiHg, relaxed, DFT PBE" ef_mev_per_atom=30 total_energy_ev_per_cell=-13.7 total_magnetization_mub_per_atom=0.00 pbc="T T T"
Tl 0.0000 2.5897 0.0000
Tl 2.5897 0.0000 0.0000
Ga 0.0000 0.0000 2.3378
Ni 0.0000 0.0000 0.0000
Hg 2.5897 2.5897 2.3378

=====

[26]
5
Lattice="4.6734 0.0000 0.0000 0.0000 4.6734 0.0000 0.0000 0.0000 5.2063" Properties=species:S:1:pos:R:3 comment="TlGa2NiHg, relaxed, DFT PBE" ef_mev_per_atom=-20 total_energy_ev_per_cell=-14.6 total_magnetization_mub_per_atom=0.00 pbc="T T T"
Tl 0.0000 0.0000 0.0000
Ga 0.0000 2.3367 2.6031
Ga 2.3367 0.0000 2.6031
Ni 0.0000 0.0000 2.6031
Hg 2.3367 2.3367 0.0000

=====

[27]
5
Lattice="4.6596 0.0000 0.0000 0.0000 4.6596 0.0000 0.0000 0.0000 5.1433" Properties=species:S:1:pos:R:3 comment="TlGa2NiHg, relaxed, DFT PBE" ef_mev_per_atom=-30 total_energy_ev_per_cell=-14.7 total_magnetization_mub_per_atom=0.00 pbc="T T T"
Tl 0.0000 0.0000 0.0000
Ga 0.0000 2.3298 2.5717
Ga 2.3298 0.0000 2.5717
Ni 2.3298 2.3298 2.5717
Hg 2.3298 2.3298 0.0000

=====

[28]
5
Lattice="4.3633 0.0000 0.0000 0.0000 4.3633 0.0000 0.0000 0.0000 4.6286" Properties=species:S:1:pos:R:3 comment="VGaNi2Hg, relaxed, DFT PBE" ef_mev_per_atom=817 total_energy_ev_per_cell=-19.9 total_magnetization_mub_per_atom=0.07 pbc="T T T"
V 0.0000 0.0000 0.0000
Ga 0.0000 0.0000 2.3143
Ni 0.0000 2.1816 2.3143
Ni 2.1816 0.0000 2.3143
Hg 2.1816 2.1816 0.0000